(1)
A PBEsol-optimized structure of DyFeSi. Source: Alexandria, functional SCAN.

The structure in POSCAR format:
```
DyFeSi
1.0
-3.102 -2.219 -1.133
2.460 -3.015 -0.831
-0.639 -2.178 6.016
Fe Dy Si
2 2 2
Direct
0.500 0.500 0.000
0.000 0.000 0.000
0.000 0.500 0.316
0.500 0.000 0.684
0.500 0.000 0.180
0.000 0.500 0.820
```

Values from the calculation:
**Space-group type**: P4/nmm
**Energy relative to the elements, uncorrected**: -569 meV per atom
**Raw total energy**: -155.30 eV/cell



(2)
A PBEsol-optimized structure of Dy3Fe2Si7. Source: Alexandria, functional SCAN.

The structure in POSCAR format:
```
Dy3Fe2Si7
1.0
3.970 0.000 0.000
0.000 4.032 0.000
-1.985 0.000 12.130
Si Dy Fe
7 3 2
Direct
0.563 0.000 0.126
0.694 0.500 0.388
0.003 0.000 0.006
0.872 0.500 0.744
0.372 0.000 0.744
0.194 0.000 0.388
0.283 0.500 0.566
0.099 0.500 0.197
0.467 0.500 0.935
0.783 0.000 0.566
0.656 0.000 0.312
0.910 0.000 0.821
```

Values from the calculation:
**Space-group type**: Cmmm
**Energy relative to the elements, uncorrected**: -554 meV per atom
**Raw total energy**: -256.41 eV/cell



(3)
A PBEsol-optimized structure of Dy2Fe3Si5. Source: Alexandria, functional SCAN.

The structure in POSCAR format:
```
Dy2Fe3Si5
1.0
-4.878 1.700 1.596
2.344 -2.367 9.688
3.745 9.432 1.398
Fe Si Dy
12 20 8
Direct
0.500 0.145 0.877
0.750 0.500 0.000
0.500 0.877 0.855
0.000 0.355 0.377
0.500 0.123 0.145
0.500 0.855 0.123
0.000 0.645 0.623
0.250 0.500 0.000
0.750 0.000 0.500
0.000 0.623 0.355
0.250 0.000 0.500
0.000 0.377 0.645
0.233 0.500 0.500
0.000 0.820 0.477
0.000 0.180 0.523
0.250 0.178 0.322
0.250 0.678 0.178
0.750 0.678 0.178
0.000 0.523 0.820
0.500 0.680 0.977
0.267 0.000 0.000
0.250 0.322 0.822
0.750 0.322 0.822
0.750 0.822 0.678
0.500 0.023 0.680
0.733 0.000 0.000
0.767 0.500 0.500
0.250 0.822 0.678
0.750 0.178 0.322
0.000 0.477 0.180
0.500 0.977 0.320
0.500 0.320 0.023
0.000 0.069 0.764
0.000 0.931 0.236
0.000 0.236 0.069
0.500 0.431 0.264
0.500 0.569 0.736
0.500 0.264 0.569
0.000 0.764 0.931
0.500 0.736 0.431
```

Values from the calculation:
**Space-group type**: P4/mnc
**Energy relative to the elements, uncorrected**: -612 meV per atom
**Raw total energy**: -824.71 eV/cell



(4)
A PBEsol-optimized structure of DyFe10Si2. Source: Alexandria, functional SCAN.

The structure in POSCAR format:
```
DyFe10Si2
1.0
4.635 0.000 0.000
2.317 5.787 0.002
2.317 0.036 5.787
Si Dy Fe
2 1 10
Direct
0.735 0.765 0.765
0.265 0.235 0.235
0.000 0.000 0.000
0.000 0.500 0.000
0.000 0.645 0.355
0.500 0.500 0.000
0.000 0.000 0.500
0.500 0.213 0.787
0.000 0.355 0.645
0.500 0.787 0.213
0.362 0.638 0.638
0.500 0.000 0.500
0.638 0.362 0.362
```

Values from the calculation:
**Space-group type**: Immm
**Energy relative to the elements, uncorrected**: -235 meV per atom
**Raw total energy**: -252.18 eV/cell